Version P
## MgCu3Ge (GGA-PBE)

Data for an optimized crystal structure of MgCu3Ge.

The structure in extended XYZ format:
```
5
Lattice="-4.4485 -0.9080 -0.4847 1.0048 -4.2968 -1.1730 -0.2229 -1.2495 4.3861" Properties=species:S:1:pos:R:3 pbc="T T T"
Cu -2.2242 -0.4540 -0.2424
Cu 0.5024 -2.1484 -0.5865
Cu -0.1114 -0.6247 2.1930
Ge -1.8333 -3.2271 1.3642
Mg 0.0000 0.0000 0.0000
```

Calculated values
The value obtained for the size of the total moment is 0.000 μB per formula unit.


Version Q
## MgCu3Ge (GGA-PBE)

Data for an optimized crystal structure of MgCu3Ge.

The structure in extended XYZ format:
```
5
Lattice="-0.9341 -3.6666 -2.4333 3.4824 0.9048 -2.7003 2.6902 -2.4443 2.6504" Properties=species:S:1:pos:R:3 pbc="T T T"
Mg 2.6193 -2.6031 -1.2415
Cu -0.4671 -1.8333 -1.2166
Cu 1.3451 -1.2222 1.3252
Cu 1.7412 0.4524 -1.3501
Ge 0.0000 0.0000 0.0000
```

Calculated values
The value obtained for the size of the total moment is 0.000 μB per formula unit.


Version R
## MgCu3Ge (GGA-PBE)

Data for an optimized crystal structure of MgCu3Ge.

The structure in extended XYZ format:
```
10
Lattice="4.7410 0.0000 0.0000 0.0000 7.1391 0.0000 0.0000 0.0000 5.0380" Properties=species:S:1:pos:R:3 pbc="T T T"
Cu 2.3705 3.5695 0.0000
Cu 0.0000 5.9285 4.7464
Cu 0.0000 1.2106 0.2917
Cu 0.0000 4.7801 2.2273
Cu 0.0000 2.3589 2.8107
Cu 2.3705 0.0000 2.5190
Ge 0.0000 3.5695 0.0000
Ge 0.0000 0.0000 2.5190
Mg 2.3705 0.0000 0.0000
Mg 2.3705 3.5695 2.5190
```

Calculated values
The value obtained for the size of the total moment is 0.000 μB per formula unit.


Each structure's energy above the most stable one, in kJ/mol of atoms: version P 71.8; version Q 11.0; version R 0.0.


Version P
## MgCuGe2O6 (GGA-PBE)

Data for an optimized crystal structure of MgCuGe2O6.

The structure in extended XYZ format:
```
20
Lattice="-4.5136 -3.2902 -3.7402 3.7252 -5.5889 -0.2724 -2.3346 -2.7148 3.7470" Properties=species:S:1:pos:R:3 pbc="T T T"
O -2.2737 -4.6799 0.5931
O 0.2177 -5.6197 1.6241
O -3.3407 -5.9742 -1.8898
O -3.1613 -7.9521 0.5328
O -1.3756 -9.7749 -0.9004
O -1.3645 -3.6089 3.1607
O -1.7585 -7.9850 -3.4264
O -0.8493 -6.9141 -0.8588
O 0.0383 -3.6419 -0.7985
O -0.5729 -8.4295 1.6400
O -2.5500 -3.1644 -1.9057
O -1.7474 -1.8190 0.6347
Ge -1.4147 -8.3318 0.1355
Ge -1.7083 -3.2621 -0.4012
Ge -1.3345 -5.0495 2.1209
Ge -1.7884 -6.5444 -2.3866
Mg 0.9396 -5.6532 -0.2625
Mg -4.0626 -5.9407 -0.0032
Cu 1.1694 -7.4005 2.1990
Cu -4.2924 -4.1935 -2.4647
```

Calculated values
The value obtained for the size of the total moment is 1.001 μB per formula unit.


Version Q
## MgCuGe2O6 (GGA-PBE)

Data for an optimized crystal structure of MgCuGe2O6.

The structure in extended XYZ format:
```
20
Lattice="5.3643 -0.0753 -0.0782 1.6292 6.6083 0.2406 1.6292 -0.0045 6.6127" Properties=species:S:1:pos:R:3 pbc="T T T"
O 3.6238 6.3831 5.4996
O 1.2939 2.0195 2.8404
O 6.8017 2.3297 5.7733
O 4.9990 0.1454 1.2755
O 3.9760 2.7259 2.0843
O 6.3059 5.2216 6.5435
O 2.3168 1.3069 0.2316
O 4.6468 3.8026 4.6909
O 4.1195 5.7206 2.5811
O 4.5032 0.8079 4.1941
O 1.8211 4.1989 1.0019
O 7.3289 4.5091 3.9348
Ge 3.6402 5.1986 4.1877
Ge 4.9826 1.3299 2.5874
Ge 6.3224 3.9545 5.3112
Ge 2.3004 2.5740 1.4640
Mg 2.9703 5.9647 0.8231
Mg 5.6525 0.5638 5.9521
Cu 5.6525 4.8875 1.7857
Cu 2.9703 1.6410 4.9894
```

Calculated values
The value obtained for the size of the total moment is 1.001 μB per formula unit.


Each structure's energy above the most stable one, in kJ/mol of atoms: version P 1.5; version Q 0.0.


Version P
## MnCu3Ge (GGA-PBE)

Data for an optimized crystal structure of MnCu3Ge.

The structure in extended XYZ format:
```
5
Lattice="4.5248 0.0000 0.0000 0.0000 4.5248 0.0000 0.0000 0.0000 4.5248" Properties=species:S:1:pos:R:3 pbc="T T T"
Cu 0.0000 2.2624 0.0000
Cu 2.2624 0.0000 0.0000
Cu 0.0000 0.0000 2.2624
Mn 0.0000 0.0000 0.0000
Ge 2.2624 2.2624 2.2624
```

Calculated values
The value obtained for the size of the total moment is 4.108 μB per formula unit.


Version Q
## MnCu3Ge (GGA-PBE)

Data for an optimized crystal structure of MnCu3Ge.

The structure in extended XYZ format:
```
5
Lattice="-2.5892 2.0581 -2.9931 -3.3512 -2.7715 0.9933 -1.4013 2.8252 3.1549" Properties=species:S:1:pos:R:3 pbc="T T T"
Cu -1.2946 1.0291 -1.4965
Cu -1.6756 -1.3857 0.4966
Cu -0.7007 1.4126 1.5774
Mn -3.6709 1.0559 0.5775
Ge 0.0000 0.0000 0.0000
```

Calculated values
The value obtained for the size of the total moment is 4.637 μB per formula unit.


Each structure's energy above the most stable one, in kJ/mol of atoms: version P 37.5; version Q 0.0.


Version P
## MnTl2CuGe (GGA-PBE)

Data for an optimized crystal structure of MnTl2CuGe.

The structure in extended XYZ format:
```
5
Lattice="-0.7231 -2.9730 -4.0430 -3.2167 -2.5974 2.4853 -3.7086 3.0685 -1.5931" Properties=species:S:1:pos:R:3 pbc="T T T"
Mn -1.6083 -1.2987 1.2427
Cu 0.0000 0.0000 0.0000
Ge -3.8242 -1.2509 -1.5753
Tl -1.8543 1.5342 -0.7965
Tl -0.3616 -1.4865 -2.0215
```

Calculated values
The value obtained for the size of the total moment is 4.139 μB per formula unit.


Version Q
## MnTl2CuGe (GGA-PBE)

Data for an optimized crystal structure of MnTl2CuGe.

The structure in extended XYZ format:
```
5
Lattice="-3.4301 -2.4697 3.1427 3.3623 -0.7353 3.0920 -1.1511 4.5762 2.3399" Properties=species:S:1:pos:R:3 pbc="T T T"
Mn -0.6094 0.6856 4.2873
Ge 1.6812 -0.3676 1.5460
Tl -0.5755 2.2881 1.1699
Tl -1.7150 -1.2348 1.5713
Cu 0.0000 0.0000 0.0000
```

Calculated values
The value obtained for the size of the total moment is 4.457 μB per formula unit.


Each structure's energy above the most stable one, in kJ/mol of atoms: version P 2.3; version Q 0.0.